A plane-wave DFT calculation with PBE-GGA was carried out for crystalline NaZr3F at its relaxed geometry.

POSCAR file:
```
NaZr3F
1.0
4.669 0.000 0.000
0.000 4.669 0.000
0.000 0.000 4.669
Na Zr F
1 3 1
Direct
0.000 0.000 0.000 Na
0.000 0.500 0.500 Zr
0.500 0.000 0.500 Zr
0.500 0.500 0.000 Zr
0.500 0.500 0.500 F
```

Results
**Crystal system**: cubic
**Density**: 5.151 g/cm³
**E**: -5.97 eV/atom
**Energy above the most stable polymorph in this dataset**: 0.000 kcal/mol of atoms
**N(E_F)**: 5.733 states/eV per cell
**Space-group type**: Pm-3m
**Raw formation energy**: -205 meV/atom
**Total magnetization**: 0.00 μB/f.u.

=====

A plane-wave DFT calculation with PBE-GGA was carried out for crystalline Na3ZrF7 at its relaxed geometry.

POSCAR file:
```
Na3ZrF7
1.0
3.857 -3.953 0.000
3.857 3.953 0.000
-3.569 0.000 5.232
Na Zr F
3 1 7
Direct
0.000 0.000 0.000 Na
0.245 0.706 0.433 Na
0.706 0.245 0.433 Na
0.528 0.528 0.971 Zr
0.151 0.497 0.691 F
0.336 0.336 0.107 F
0.374 0.836 0.169 F
0.497 0.151 0.691 F
0.639 0.639 0.733 F
0.836 0.374 0.169 F
0.858 0.858 0.236 F
```

Results
**Crystal system**: monoclinic
**Density**: 3.052 g/cm³
**E**: -5.57 eV/atom
**N(E_F)**: 0.000 states/eV per cell
**Space-group type**: Cm
**Raw formation energy**: -3240 meV/atom
**Total magnetization**: 0.00 μB/f.u.

=====

A plane-wave DFT calculation with PBE-GGA was carried out for crystalline Na2ZrF at its relaxed geometry.

POSCAR file:
```
Na2ZrF
1.0
0.000 3.749 3.749
3.749 0.000 3.749
3.749 3.749 0.000
Na Zr F
2 1 1
Direct
0.250 0.250 0.250 Na
0.750 0.750 0.750 Na
0.000 0.000 0.000 Zr
0.500 0.500 0.500 F
```

Results
**Crystal system**: cubic
**Density**: 2.462 g/cm³
**E**: -2.97 eV/atom
**Energy above the most stable polymorph in this dataset**: 16.490 kcal/mol of atoms
**N(E_F)**: 3.475 states/eV per cell
**Space-group type**: Fm-3m
**Raw formation energy**: 292 meV/atom
**Total magnetization**: 3.13 μB/f.u.

=====

A plane-wave DFT calculation with PBE-GGA was carried out for crystalline NaZr3F at its relaxed geometry.

POSCAR file:
```
NaZr3F
1.0
5.072 0.000 0.000
0.000 5.072 0.000
0.000 0.000 5.072
Na Zr F
1 3 1
Direct
0.000 0.000 0.000 Na
0.000 0.000 0.500 Zr
0.000 0.500 0.000 Zr
0.500 0.000 0.000 Zr
0.500 0.500 0.500 F
```

Results
**Crystal system**: cubic
**Density**: 4.018 g/cm³
**E**: -4.35 eV/atom
**Energy above the most stable polymorph in this dataset**: 37.362 kcal/mol of atoms
**N(E_F)**: 8.990 states/eV per cell
**Space-group type**: Pm-3m
**Raw formation energy**: 1415 meV/atom
**Total magnetization**: 0.00 μB/f.u.

=====

A plane-wave DFT calculation with PBE-GGA was carried out for crystalline Na3ZrF8 at its relaxed geometry.

POSCAR file:
```
Na3ZrF8
1.0
5.422 0.000 0.000
0.000 5.422 0.000
0.000 0.000 5.422
Na Zr F
3 1 8
Direct
0.000 0.000 0.500 Na
0.000 0.500 0.000 Na
0.500 0.000 0.000 Na
0.500 0.500 0.500 Zr
0.271 0.271 0.271 F
0.271 0.271 0.729 F
0.271 0.729 0.271 F
0.271 0.729 0.729 F
0.729 0.271 0.271 F
0.729 0.271 0.729 F
0.729 0.729 0.271 F
0.729 0.729 0.729 F
```

Results
**Crystal system**: cubic
**Density**: 3.252 g/cm³
**E**: -5.21 eV/atom
**N(E_F)**: 10.191 states/eV per cell
**Space-group type**: Pm-3m
**Raw formation energy**: -2924 meV/atom
**Total magnetization**: 1.03 μB/f.u.

=====

A plane-wave DFT calculation with PBE-GGA was carried out for crystalline Na2ZrF6 at its relaxed geometry.

POSCAR file:
```
Na2ZrF6
1.0
5.642 0.000 0.000
0.000 5.481 0.000
-1.699 0.000 16.292
Na Zr F
8 4 24
Direct
0.171 0.001 0.092 Na
0.171 0.499 0.592 Na
0.255 0.536 0.252 Na
0.255 0.964 0.752 Na
0.745 0.036 0.248 Na
0.745 0.464 0.748 Na
0.829 0.501 0.408 Na
0.829 0.999 0.908 Na
0.325 0.054 0.402 Zr
0.325 0.446 0.902 Zr
0.675 0.554 0.098 Zr
0.675 0.946 0.598 Zr
0.071 0.219 0.317 F
0.071 0.281 0.817 F
0.104 0.730 0.864 F
0.104 0.770 0.364 F
0.157 0.222 0.976 F
0.157 0.278 0.476 F
0.367 0.671 0.012 F
0.367 0.829 0.512 F
0.440 0.184 0.649 F
0.440 0.316 0.149 F
0.477 0.713 0.665 F
0.477 0.787 0.165 F
0.523 0.213 0.835 F
0.523 0.287 0.335 F
0.560 0.684 0.851 F
0.560 0.816 0.351 F
0.633 0.171 0.488 F
0.633 0.329 0.988 F
0.843 0.722 0.524 F
0.843 0.778 0.024 F
0.896 0.230 0.636 F
0.896 0.270 0.136 F
0.929 0.719 0.183 F
0.929 0.781 0.683 F
```

Results
**Crystal system**: monoclinic
**Density**: 3.311 g/cm³
**E**: -5.84 eV/atom
**N(E_F)**: 0.000 states/eV per cell
**Space-group type**: P2_1/c
**Raw formation energy**: -3351 meV/atom
**Total magnetization**: 0.00 μB/f.u.

=====

A plane-wave DFT calculation with PBE-GGA was carried out for crystalline Na6ZrF12 at its relaxed geometry.

POSCAR file:
```
Na6ZrF12
1.0
5.060 2.921 3.162
-5.060 2.921 3.162
0.000 -5.843 3.162
Na Zr F
6 1 12
Direct
0.110 0.651 0.800 Na
0.200 0.890 0.349 Na
0.349 0.200 0.890 Na
0.651 0.800 0.110 Na
0.800 0.110 0.651 Na
0.890 0.349 0.200 Na
0.500 0.500 0.500 Zr
0.051 0.337 0.919 F
0.081 0.949 0.663 F
0.197 0.529 0.429 F
0.337 0.919 0.051 F
0.429 0.197 0.529 F
0.471 0.571 0.803 F
0.529 0.429 0.197 F
0.571 0.803 0.471 F
0.663 0.081 0.949 F
0.803 0.471 0.571 F
0.919 0.051 0.337 F
0.949 0.663 0.081 F
```

Results
**Crystal system**: trigonal
**Density**: 2.707 g/cm³
**E**: -4.75 eV/atom
**N(E_F)**: 7.637 states/eV per cell
**Space-group type**: R-3
**Raw formation energy**: -2699 meV/atom
**Total magnetization**: 2.00 μB/f.u.

=====

A plane-wave DFT calculation with PBE-GGA was carried out for crystalline Na2ZrF6 at its relaxed geometry.

POSCAR file:
```
Na2ZrF6
1.0
5.187 0.000 0.000
0.000 5.187 0.000
0.000 0.000 10.342
Na Zr F
4 2 12
Direct
0.000 0.000 0.164 Na
0.000 0.000 0.836 Na
0.500 0.500 0.336 Na
0.500 0.500 0.664 Na
0.000 0.000 0.500 Zr
0.500 0.500 0.000 Zr
0.188 0.188 0.354 F
0.188 0.188 0.646 F
0.220 0.220 0.000 F
0.280 0.720 0.500 F
0.312 0.688 0.146 F
0.312 0.688 0.854 F
0.688 0.312 0.146 F
0.688 0.312 0.854 F
0.720 0.280 0.500 F
0.780 0.780 0.000 F
0.812 0.812 0.354 F
0.812 0.812 0.646 F
```

Results
**Crystal system**: tetragonal
**Density**: 2.998 g/cm³
**E**: -5.84 eV/atom
**N(E_F)**: 0.000 states/eV per cell
**Space-group type**: P4_2/mnm
**Raw formation energy**: -3351 meV/atom
**Total magnetization**: 0.00 μB/f.u.